{
  "formula": "Na7Tl2Cd2",
  "functional": "GGA-PBE",
  "state": "optimized geometry",
  "formation_enthalpy_0k_mev_per_atom": -57.3,
  "volume_a3_per_cell": 328,
  "m_tot_mub_per_fu": 0.0,
  "cell": [[-2.541, 7.561, 4.267], [2.541, -7.561, 4.267], [2.541, 7.561, -4.267]],
  "species": ["Na", "Na", "Na", "Na", "Na", "Na", "Na", "Tl", "Tl", "Cd", "Cd"],
  "fractional_positions": [[0.000, 0.000, 0.000], [0.176, 0.326, 0.850], [0.203, 0.546, 0.657], [0.465, 0.109, 0.356], [0.476, 0.326, 0.150], [0.754, 0.109, 0.644], [0.889, 0.546, 0.343], [0.316, 0.816, 0.500], [0.615, 0.615, 0.000], [0.020, 0.825, 0.196], [0.629, 0.825, 0.804]]
}

=====

{
  "formula": "NaTl5Cd4",
  "functional": "GGA-PBE",
  "state": "optimized geometry",
  "formation_enthalpy_0k_mev_per_atom": 11.4,
  "volume_a3_per_cell": 276,
  "m_tot_mub_per_fu": 0.0,
  "cell": [[3.983, 0.000, 0.000], [0.000, 3.983, 0.000], [0.000, 0.000, 17.418]],
  "species": ["Na", "Tl", "Tl", "Tl", "Tl", "Tl", "Cd", "Cd", "Cd", "Cd"],
  "fractional_positions": [[0.000, 0.000, 0.000], [0.500, 0.500, 0.108], [0.500, 0.500, 0.304], [0.500, 0.500, 0.500], [0.500, 0.500, 0.696], [0.500, 0.500, 0.892], [0.000, 0.000, 0.201], [0.000, 0.000, 0.397], [0.000, 0.000, 0.603], [0.000, 0.000, 0.799]]
}

=====

{
  "formula": "NaTlCd17",
  "functional": "GGA-PBE",
  "state": "optimized geometry",
  "formation_enthalpy_0k_mev_per_atom": -0.2,
  "volume_a3_per_cell": 464,
  "m_tot_mub_per_fu": 0.0,
  "cell": [[5.158, 2.978, 5.030], [-5.158, 2.978, 5.030], [0.000, -5.956, 5.030]],
  "species": ["Na", "Tl", "Cd", "Cd", "Cd", "Cd", "Cd", "Cd", "Cd", "Cd", "Cd", "Cd", "Cd", "Cd", "Cd", "Cd", "Cd", "Cd", "Cd"],
  "fractional_positions": [[0.000, 0.000, 0.000], [0.323, 0.323, 0.323], [0.023, 0.023, 0.489], [0.023, 0.489, 0.023], [0.148, 0.671, 0.671], [0.308, 0.308, 0.806], [0.308, 0.806, 0.308], [0.360, 0.661, 0.961], [0.360, 0.961, 0.661], [0.489, 0.023, 0.023], [0.555, 0.555, 0.555], [0.661, 0.360, 0.961], [0.661, 0.961, 0.360], [0.671, 0.148, 0.671], [0.671, 0.671, 0.148], [0.759, 0.759, 0.759], [0.806, 0.308, 0.308], [0.961, 0.360, 0.661], [0.961, 0.661, 0.360]]
}

=====

{
  "formula": "Na2Tl5Cd",
  "functional": "GGA-PBE",
  "state": "optimized geometry",
  "formation_enthalpy_0k_mev_per_atom": -58.7,
  "volume_a3_per_cell": 463,
  "m_tot_mub_per_fu": 0.0,
  "cell": [[8.166, 0.000, 0.000], [0.000, 14.403, 0.000], [0.000, 0.000, 3.934]],
  "species": ["Na", "Na", "Na", "Na", "Tl", "Tl", "Tl", "Tl", "Tl", "Tl", "Tl", "Tl", "Tl", "Tl", "Cd", "Cd"],
  "fractional_positions": [[0.246, 0.125, 0.000], [0.254, 0.625, 0.000], [0.746, 0.375, 0.000], [0.754, 0.875, 0.000], [0.000, 0.500, 0.500], [0.012, 0.258, 0.500], [0.227, 0.881, 0.000], [0.273, 0.381, 0.000], [0.488, 0.758, 0.500], [0.500, 0.000, 0.500], [0.512, 0.242, 0.500], [0.727, 0.619, 0.000], [0.773, 0.119, 0.000], [0.988, 0.742, 0.500], [0.000, 0.000, 0.500], [0.500, 0.500, 0.500]]
}